No. 1
# Mg3Cd5In12 (GGA-PBE, optimized geometry)
# Total energy   -1.925 eV per atom
# ΔE_f   0.19 eV per atom
data_Mg3Cd5In12
_chemical_formula_sum 'Mg24 Cd40 In96'
_space_group_name_H-M_alt 'I a -3 d'
_space_group_IT_number 230
_space_group_name_Hall '-I 4bd 2c 3'
_cell_length_a 17.0597
_cell_length_b 17.0597
_cell_length_c 17.0597
_cell_angle_alpha 90.00
_cell_angle_beta 90.00
_cell_angle_gamma 90.00
loop_
_atom_site_label
_atom_site_type_symbol
_atom_site_fract_x
_atom_site_fract_y
_atom_site_fract_z
Mg1 Mg 0.0000 0.2500 0.1250
Cd1 Cd 0.0000 0.0000 0.0000
Cd2 Cd 0.0000 0.2500 0.3750
In1 In 0.0146 0.0808 0.6506

***

No. 2
# TbZrCuAg (GGA-PBE, optimized geometry)
# Total energy   -5.095 eV per atom
# ΔE_f   -0.06 eV per atom
data_TbZrCuAg
_chemical_formula_sum 'Tb4 Zr4 Cu4 Ag4'
_space_group_name_H-M_alt 'F -4 3 m'
_space_group_IT_number 216
_space_group_name_Hall 'F -4 2 3'
_cell_length_a 6.9513
_cell_length_b 6.9513
_cell_length_c 6.9513
_cell_angle_alpha 90.00
_cell_angle_beta 90.00
_cell_angle_gamma 90.00
loop_
_atom_site_label
_atom_site_type_symbol
_atom_site_fract_x
_atom_site_fract_y
_atom_site_fract_z
Tb1 Tb 0.0000 0.0000 0.0000
Zr1 Zr 0.0000 0.0000 0.5000
Cu1 Cu 0.2500 0.2500 0.2500
Ag1 Ag 0.2500 0.2500 0.7500

***

No. 3
# Sc2PtPb (GGA-PBE, optimized geometry)
# Total energy   -5.769 eV per atom
# ΔE_f   -0.17 eV per atom
data_Sc2PtPb
_chemical_formula_sum 'Sc8 Pt4 Pb4'
_space_group_name_H-M_alt 'I -4 2 d'
_space_group_IT_number 122
_space_group_name_Hall 'I -4 2bw'
_cell_length_a 4.4867
_cell_length_b 4.4867
_cell_length_c 18.9679
_cell_angle_alpha 90.00
_cell_angle_beta 90.00
_cell_angle_gamma 90.00
loop_
_atom_site_label
_atom_site_type_symbol
_atom_site_fract_x
_atom_site_fract_y
_atom_site_fract_z
Sc1 Sc 0.2379 0.2500 0.1250
Pt1 Pt 0.0000 0.0000 0.0000
Pb1 Pb 0.0000 0.0000 0.5000

***

No. 4
# CaTc2C (GGA-PBE, optimized geometry)
# Total energy   -7.703 eV per atom
# ΔE_f   0.29 eV per atom
data_CaTc2C
_chemical_formula_sum 'Ca4 Tc8 C4'
_space_group_name_H-M_alt 'C m c m'
_space_group_IT_number 63
_space_group_name_Hall '-C 2c 2'
_cell_length_a 3.0510
_cell_length_b 10.1474
_cell_length_c 8.0710
_cell_angle_alpha 90.00
_cell_angle_beta 90.00
_cell_angle_gamma 90.00
loop_
_atom_site_label
_atom_site_type_symbol
_atom_site_fract_x
_atom_site_fract_y
_atom_site_fract_z
Ca1 Ca 0.0000 0.0713 0.2500
Tc1 Tc 0.0000 0.3382 0.0805
C1 C 0.0000 0.1833 0.7500

***

No. 5
# TlGaBr2 (GGA-PBE, optimized geometry)
# Total energy   -2.862 eV per atom
# Energy relative to the elements, uncorrected   -0.6771 eV per atom
# Excess energy over the best structure of this formula in the dataset   0.013 eV per atom
data_TlGaBr2
_chemical_formula_sum 'Tl3 Ga3 Br6'
_space_group_name_H-M_alt 'R 3 m'
_space_group_IT_number 160
_space_group_name_Hall 'R 3 -2"'
_cell_length_a 4.4997
_cell_length_b 4.4997
_cell_length_c 23.7295
_cell_angle_alpha 90.00
_cell_angle_beta 90.00
_cell_angle_gamma 120.00
loop_
_atom_site_label
_atom_site_type_symbol
_atom_site_fract_x
_atom_site_fract_y
_atom_site_fract_z
Tl1 Tl 0.0000 0.0000 0.0000
Ga1 Ga 0.0000 0.0000 0.8324
Br1 Br 0.0000 0.0000 0.2425
Br2 Br 0.0000 0.0000 0.4220

***

No. 6
# Y2AgRu (GGA-PBE, optimized geometry)
# Total energy   -6.412 eV per atom
# ΔE_f   -0.15 eV per atom
data_Y2AgRu
_chemical_formula_sum 'Y4 Ag2 Ru2'
_space_group_name_H-M_alt 'I m m 2'
_space_group_IT_number 44
_cell_length_a 3.4559
_cell_length_b 4.8142
_cell_length_c 10.8432
_cell_angle_alpha 90.00
_cell_angle_beta 90.00
_cell_angle_gamma 90.00
loop_
_space_group_symop_operation_xyz
'x,y,z'
'-x,-y,z'
'-x,y,z'
'x,-y,z'
'x+1/2,y+1/2,z+1/2'
'-x+1/2,-y+1/2,z+1/2'
'-x+1/2,y+1/2,z+1/2'
'x+1/2,-y+1/2,z+1/2'
loop_
_atom_site_label
_atom_site_type_symbol
_atom_site_fract_x
_atom_site_fract_y
_atom_site_fract_z
Y1 Y 0.0000 0.0000 0.0000
Y2 Y 0.0000 0.5000 0.2083
Ag1 Ag 0.0000 0.5000 0.7850
Ru1 Ru 0.0000 0.0000 0.4934

***

No. 7
# Sr2LiPdF (GGA-PBE, optimized geometry)
# Total energy   -3.764 eV per atom
# Energy relative to the elements, uncorrected   -1.2952 eV per atom
data_Sr2LiPdF
_chemical_formula_sum 'Sr2 Li1 Pd1 F1'
_space_group_name_H-M_alt 'P 4/m m m'
_space_group_IT_number 123
_space_group_name_Hall '-P 4 2'
_cell_length_a 5.2703
_cell_length_b 5.2703
_cell_length_c 4.0995
_cell_angle_alpha 90.00
_cell_angle_beta 90.00
_cell_angle_gamma 90.00
loop_
_atom_site_label
_atom_site_type_symbol
_atom_site_fract_x
_atom_site_fract_y
_atom_site_fract_z
Sr1 Sr 0.0000 0.5000 0.0000
Li1 Li 0.0000 0.0000 0.5000
Pd1 Pd 0.5000 0.5000 0.5000
F1 F 0.0000 0.0000 0.0000

***

No. 8
# TaGa3O (GGA-PBE, optimized geometry)
# Total energy   -4.155 eV per atom
# Energy relative to the elements, uncorrected   1.0235 eV per atom
# Excess energy over the best structure of this formula in the dataset   1.106 eV per atom
data_TaGa3O
_chemical_formula_sum 'Ta1 Ga3 O1'
_space_group_name_H-M_alt 'P m -3 m'
_space_group_IT_number 221
_space_group_name_Hall '-P 4 2 3'
_cell_length_a 5.1067
_cell_length_b 5.1067
_cell_length_c 5.1067
_cell_angle_alpha 90.00
_cell_angle_beta 90.00
_cell_angle_gamma 90.00
loop_
_atom_site_label
_atom_site_type_symbol
_atom_site_fract_x
_atom_site_fract_y
_atom_site_fract_z
Ta1 Ta 0.0000 0.0000 0.0000
Ga1 Ga 0.0000 0.0000 0.5000
O1 O 0.5000 0.5000 0.5000